# CrIO3 | the Alexandria database | GGA+U | optimized geometry
data_CrIO3
_space_group_name_H-M_alt 'P m -3 m'
_space_group_IT_number 221
_space_group_name_Hall '-P 4 2 3'
_cell_length_a 4.116
_cell_length_b 4.116
_cell_length_c 4.116
_cell_angle_alpha 90.00
_cell_angle_beta 90.00
_cell_angle_gamma 90.00
loop_
_atom_site_label
_atom_site_fract_x
_atom_site_fract_y
_atom_site_fract_z
Cr1 0.000 0.000 0.000
I1 0.500 0.500 0.500
O1 0.000 0.500 0.500
# Electronic total energy: -4.844 eV per atom